# 1
Crystalline CaBS at its relaxed geometry, computed with PBE-GGA.

Properties
- magnetic moment (μB/cell) = 0.00
- ΔE_f (raw) (eV/f.u.) = -2.88
- polymorph energy (0 for the lowest one) (meV/atom) = 0
- SG = No. 63
- crystal system = orthorhombic

abc: 4.0895 14.4291 3.4616
angles: 90.00 90.00 90.00
Positions (direct):
Ca  0.5000  0.3797  0.7500
Ca  0.5000  0.6203  0.2500
Ca  0.0000  0.8797  0.7500
Ca  0.0000  0.1203  0.2500
B  0.5000  0.0231  0.7500
B  0.0000  0.4769  0.2500
B  0.5000  0.9769  0.2500
B  0.0000  0.5231  0.7500
S  0.5000  0.1595  0.7500
S  0.0000  0.6595  0.7500
S  0.5000  0.8405  0.2500
S  0.0000  0.3405  0.2500

***

# 2
Crystalline Tb5Sm2Th4 at its relaxed geometry, computed with PBE-GGA.

Properties
- magnetic moment (μB/cell) = 0.00
- polymorph energy (0 for the lowest one) (meV/atom) = 68
- SG = No. 12
- crystal system = monoclinic

abc: 6.7033 9.0411 10.3471
angles: 39.05 71.10 68.24
Positions (direct):
Th  0.7515  0.6560  0.8411
Th  0.5925  0.2233  0.5916
Th  0.4075  0.7767  0.4084
Th  0.2485  0.3440  0.1589
Tb  0.8246  0.7318  0.0960
Tb  0.3476  0.7318  0.0960
Tb  0.6524  0.2682  0.9040
Tb  0.1754  0.2682  0.9040
Tb  0.0000  0.5000  0.5000
Sm  0.1973  0.9312  0.6742
Sm  0.8027  0.0688  0.3258

***

# 3
Crystalline PmHo8Sc6 at its relaxed geometry, computed with PBE-GGA.

Properties
- magnetic moment (μB/cell) = 0.00
- polymorph energy (0 for the lowest one) (meV/atom) = 0
- SG = No. 148
- crystal system = trigonal

abc: 8.3477 8.3477 8.3477
angles: 62.43 62.43 62.43
Positions (direct):
Sc  0.5308  0.2526  0.0985
Sc  0.0985  0.5308  0.2526
Sc  0.2526  0.0985  0.5308
Sc  0.7474  0.9015  0.4692
Sc  0.4692  0.7474  0.9015
Sc  0.9015  0.4692  0.7474
Ho  0.2882  0.2451  0.8872
Ho  0.7118  0.7549  0.1128
Ho  0.1128  0.7118  0.7549
Ho  0.8872  0.2882  0.2451
Ho  0.7549  0.1128  0.7118
Ho  0.5791  0.5791  0.5791
Ho  0.4209  0.4209  0.4209
Ho  0.2451  0.8872  0.2882
Pm  0.0000  0.0000  0.0000

***

# 4
Crystalline BeHgPt3 at its relaxed geometry, computed with PBE-GGA.

Properties
- magnetic moment (μB/cell) = 0.00
- polymorph energy (0 for the lowest one) (meV/atom) = 251
- SG = No. 221
- crystal system = cubic

abc: 4.3076 4.3076 4.3076
angles: 90.00 90.00 90.00
Positions (direct):
Pt  0.5000  0.0000  0.0000
Pt  0.0000  0.5000  0.0000
Pt  0.0000  0.0000  0.5000
Hg  0.5000  0.5000  0.5000
Be  0.0000  0.0000  0.0000